{"formula": "YNiBO4", "functional": "PBE+U", "state": "optimized geometry", "energy_ry_per_atom": -0.5228, "total_magnetization_mub_per_fu": 1.992, "crystal_system": "orthorhombic", "n_ef_per_ev_atom": 0.000, "spacegroup": "No. 74", "lattice_angstrom": [[-2.234, -3.063, -4.322], [3.429, -1.729, -4.371], [1.094, -5.704, -0.347]], "species": ["Ni", "Ni", "O", "O", "O", "O", "O", "O", "O", "O", "B", "B", "Y", "Y"], "fractional_positions": [[0.000, 0.000, 0.500], [0.500, 0.000, 0.500], [0.276, 0.685, 0.764], [0.724, 0.315, 0.236], [0.276, 0.264, 0.185], [0.288, 0.746, 0.246], [0.719, 0.746, 0.246], [0.724, 0.736, 0.815], [0.712, 0.254, 0.754], [0.281, 0.254, 0.754], [0.613, 0.637, 0.137], [0.387, 0.363, 0.863], [0.000, 0.500, 0.500], [0.000, 0.000, 0.000]]}